The following is a DFT calculation (GGA-PBE) of a geometry-optimized BaLi3Ta4O12 structure.

The structure in POSCAR format:
```
BaLi3Ta4O12
1.0
6.756 0.000 0.000
-2.252 6.369 0.000
-2.252 -3.185 5.516
O Ba Li Ta
12 1 3 4
direct
0.096 0.294 0.801
0.294 0.801 0.096
0.801 0.507 0.706
0.706 0.199 0.904
0.199 0.904 0.706
0.507 0.706 0.801
0.904 0.706 0.199
0.294 0.199 0.493
0.493 0.294 0.199
0.801 0.096 0.294
0.199 0.493 0.294
0.706 0.801 0.507
0.000 0.000 0.000
0.000 0.500 0.500
0.500 0.500 0.000
0.500 0.000 0.500
0.000 0.000 0.500
0.500 0.000 0.000
0.500 0.500 0.500
0.000 0.500 0.000
```

M_tot	0.0	μB/f.u.
volume	11.9	Å³/atom
formation energy without anion corrections	-54.035	eV per formula unit
uncorrected energy	-168.6	eV per cell

The following is a DFT calculation (GGA-PBE) of a geometry-optimized Er3Tm4Cd4 structure.

The structure in POSCAR format:
```
Er3Tm4Cd4
1.0
-5.251 -0.314 -0.210
-0.010 -3.717 5.814
2.025 9.103 1.728
Cd Er Tm
4 3 4
direct
0.500 0.210 0.000
0.824 0.324 0.649
0.176 0.676 0.351
0.500 0.790 0.000
0.000 0.500 0.000
0.896 0.896 0.793
0.104 0.104 0.207
0.683 0.444 0.365
0.683 0.922 0.365
0.317 0.556 0.635
0.317 0.078 0.635
```

M_tot	0.0	μB/f.u.
volume	27.8	Å³/atom
ΔE_f	-87	meV per atom
uncorrected energy	-36.2	eV per cell

The following is a DFT calculation (GGA-PBE) of a geometry-optimized Nd2TmO structure.

The structure in POSCAR format:
```
Nd2TmO
1.0
-1.581 -0.971 -3.119
-2.631 -2.499 0.000
-7.726 5.497 0.094
O Nd Tm
1 2 1
direct
0.500 0.500 0.500
0.118 0.118 0.646
0.882 0.882 0.354
0.000 0.000 0.000
```

M_tot	0.0	μB/f.u.
volume	26.4	Å³/atom
formation energy without anion corrections	-4.457	eV per formula unit
energy above the most stable polymorph in this dataset	0	meV/atom
uncorrected energy	-23.4	eV per cell

The following is a DFT calculation (GGA-PBE) of a geometry-optimized Mg2ReIr structure.

The structure in POSCAR format:
```
Mg2ReIr
1.0
-1.172 -2.968 3.109
0.438 -4.360 -0.805
3.129 -2.354 2.125
Ir Re Mg
1 1 2
direct
0.500 0.500 0.500
0.750 0.750 0.750
0.000 0.000 0.000
0.250 0.250 0.250
```

M_tot	0.4	μB/f.u.
volume	15.6	Å³/atom
ΔE_f	122	meV per atom
energy above the most stable polymorph in this dataset	206	meV/atom
uncorrected energy	-24.0	eV per cell

The following is a DFT calculation (GGA-PBE) of a geometry-optimized La8Er2In structure.

The structure in POSCAR format:
```
La8Er2In
1.0
4.883 0.000 -1.404
-0.794 7.710 -2.763
0.123 0.754 9.624
La Er In
8 2 1
direct
0.863 0.821 0.726
0.408 0.550 0.816
0.676 0.908 0.351
0.955 0.265 0.909
0.324 0.092 0.649
0.592 0.450 0.184
0.045 0.735 0.091
0.137 0.179 0.274
0.773 0.367 0.547
0.227 0.633 0.453
0.500 0.000 0.000
```

M_tot	0.0	μB/f.u.
volume	34.1	Å³/atom
ΔE_f	-77	meV per atom
uncorrected energy	-52.1	eV per cell

The following is a DFT calculation (GGA-PBE) of a geometry-optimized La4Tb5Er structure.

The structure in POSCAR format:
```
La4Tb5Er
1.0
-1.005 0.501 6.036
-5.516 -5.381 2.650
5.004 -4.739 4.349
Tb La Er
5 4 1
direct
0.153 0.623 0.001
0.154 0.999 0.623
0.777 0.377 0.999
0.699 0.000 0.000
0.776 0.001 0.377
0.433 0.676 0.323
0.109 0.323 0.324
0.432 0.324 0.677
0.756 0.677 0.676
0.223 0.000 0.000
```

M_tot	0.0	μB/f.u.
volume	35.0	Å³/atom
ΔE_f	220	meV per atom
energy above the most stable polymorph in this dataset	33	meV/atom
uncorrected energy	-45.2	eV per cell

| no. | Fermi-level density of states (states/eV/atom) |
| --- | --- |
| 1 | 0.20 |
| 2 | 0.74 |
| 3 | 0.96 |
| 4 | 1.23 |
| 5 | 1.44 |
| 6 | 1.35 |